An optimized crystal structure of SmCu6Au6, computed with PBE.

Its formation energy is -0.241 eV per atom.

Cell: 5.194 6.890 6.890 Å, 81.95 67.86 67.86°
Fractional positions:
Sm 0.000 0.000 0.000
Cu 0.000 0.500 0.000
Cu 0.500 0.500 0.000
Cu 0.000 0.000 0.500
Cu 0.500 0.000 0.500
Cu 0.500 0.764 0.236
Cu 0.500 0.236 0.764
Au 0.343 0.657 0.657
Au 0.657 0.343 0.343
Au 0.000 0.337 0.663
Au 0.000 0.663 0.337
Au 0.312 0.188 0.188
Au 0.688 0.812 0.812